The following is a GGA-PBE calculation of an optimized crystal structure of CoAgRh3, from Alexandria via LeMat-Bulk.

Computed properties:
For the polymorph energy (0 for the lowest one), the calculation gives 0.0 kJ/mol of atoms. As for the space group: No. 221. The calculated formation energy is 0.990 eV per atom.

abc: 4.467 4.467 4.467
angles: 90.00 90.00 90.00
Atoms (fractional coordinates):
Co: 0.000 0.000 0.000
Rh: 0.000 0.500 0.000
Rh: 0.000 0.000 0.500
Rh: 0.500 0.000 0.000
Ag: 0.500 0.500 0.500